# 1
First-principles (PBE) data for a geometry-optimized LiZrMnCo structure, as listed in Alexandria via LeMat-Bulk.

**Raw total energy**: -6.65 eV/atom
**Spin magnetization**: 3.61 μB per cell
**V**: 58.6 Å³/cell

Cell lengths 4.3599, 4.3599, 4.3599 Å; angles 60.00, 60.00, 60.00 degrees
Atoms (fractional coordinates):
Mn: 0.0000 0.0000 0.0000
Co: 0.2500 0.2500 0.2500
Zr: 0.5000 0.5000 0.5000
Li: 0.7500 0.7500 0.7500

***

# 2
First-principles (PBE) data for a geometry-optimized MnNi5Pd8 structure, as listed in Alexandria via LeMat-Bulk.

**Raw total energy**: -5.52 eV/atom
**Spin magnetization**: 10.01 μB per cell
**V**: 205.0 Å³/cell

Cell lengths 6.4365, 6.4365, 6.4365 Å; angles 110.79, 106.87, 110.79 degrees
Atoms (fractional coordinates):
Mn: 0.2500 0.5000 0.7500
Ni: 0.0379 0.3188 0.1264
Ni: 0.8736 0.9114 0.1924
Ni: 0.8076 0.6812 0.7191
Ni: 0.5000 0.0000 0.5000
Ni: 0.2809 0.0886 0.9621
Pd: 0.1515 0.7291 0.0733
Pd: 0.9267 0.0782 0.6558
Pd: 0.7422 0.2613 0.3425
Pd: 0.6575 0.3997 0.9188
Pd: 0.5191 0.6003 0.2578
Pd: 0.5776 0.9218 0.8485
Pd: 0.3442 0.2709 0.4224
Pd: 0.0812 0.7387 0.4809